Computed, not measured: Er3Tm4Bi8 after structural relaxation at the PBE level of DFT.

## Properties
The energy relative to the elements is -625 meV per atom. Its space group is C2/m.

a = 8.834 Å, b = 8.834 Å, c = 8.831 Å
α = 119.98°, β = 119.98°, γ = 90.01°
Fractional positions:
Er 0.000 0.000 0.000
Er 0.000 0.500 0.000
Er 0.500 0.000 0.000
Tm 0.000 0.500 0.500
Tm 0.500 0.000 0.500
Tm 0.500 0.500 0.000
Tm 0.500 0.500 0.500
Bi 0.245 0.755 0.500
Bi 0.246 0.246 0.501
Bi 0.246 0.246 0.991
Bi 0.250 0.750 0.000
Bi 0.750 0.250 0.000
Bi 0.754 0.754 0.009
Bi 0.754 0.754 0.499
Bi 0.755 0.245 0.500

---

Computed, not measured: LiBeFe2 after structural relaxation at the PBE level of DFT.

## Properties
The energy relative to the elements is 202 meV per atom. Its space group is P4/mmm.

a = 3.899 Å, b = 3.899 Å, c = 2.683 Å
α = 90.00°, β = 90.00°, γ = 90.00°
Fractional positions:
Li 0.000 0.000 0.000
Be 0.500 0.500 0.000
Fe 0.000 0.500 0.500
Fe 0.500 0.000 0.500

---

Computed, not measured: BeCd2Ni after structural relaxation at the PBE level of DFT.

## Properties
The energy relative to the elements is 134 meV per atom. Its space group is Pm.

a = 3.062 Å, b = 3.930 Å, c = 5.347 Å
α = 90.00°, β = 106.37°, γ = 90.00°
Fractional positions:
Be 0.000 0.000 0.000
Cd 0.293 0.000 0.580
Cd 0.618 0.500 0.233
Ni 0.902 0.500 0.801

---

Computed, not measured: MgTi3Sn after structural relaxation at the PBE level of DFT.

## Properties
The energy relative to the elements is 890 meV per atom. Its space group is Pm-3m. The excess energy over the best structure of this formula in the dataset is 0 meV/atom.

a = 5.060 Å, b = 5.060 Å, c = 5.060 Å
α = 90.00°, β = 90.00°, γ = 90.00°
Fractional positions:
Mg 0.000 0.000 0.000
Ti 0.000 0.500 0.500
Ti 0.500 0.000 0.500
Ti 0.500 0.500 0.000
Sn 0.500 0.500 0.500

---

| no. | density of states at the Fermi level (states/eV/atom) | magnetic moment (μB per atom) |
| --- | --- | --- |
| 1 | 0.5299 | 0.000 |
| 2 | 0.6605 | 1.050 |
| 3 | 0.3649 | 0.000 |
| 4 | 1.2957 | 0.000 |